# 1
Below is an optimized crystal structure of AcPm2Hg, with properties calculated at the PBE-GGA level.

Calculated values
Symmetry: P4/mmm (123)
ΔE_f, eV/atom: -0.120
Excess energy over the best structure of this formula in the dataset, eV per atom: 0.104
Raw total energy, eV per atom: -3.60
Fermi-level density of states, states/eV per atom: 1.63

Cell: 5.0207 5.0207 5.1349 Å, 90.00 90.00 90.00°
Fractional positions:
Ac: 0.0000 0.0000 0.0000
Pm: 0.0000 0.5000 0.5000
Pm: 0.5000 0.0000 0.5000
Hg: 0.5000 0.5000 0.0000

***

# 2
Below is an optimized crystal structure of Ac5Pm4Hg, with properties calculated at the PBE-GGA level.

Calculated values
Symmetry: P4/mmm (123)
ΔE_f, eV/atom: -0.066
Raw total energy, eV per atom: -4.05
Fermi-level density of states, states/eV per atom: 1.42

Cell: 3.9214 3.9214 25.0017 Å, 90.00 90.00 90.00°
Fractional positions:
Ac: 0.0000 0.0000 0.0000
Ac: 0.0000 0.0000 0.2068
Ac: 0.0000 0.0000 0.4160
Ac: 0.0000 0.0000 0.5840
Ac: 0.0000 0.0000 0.7932
Pm: 0.5000 0.5000 0.1033
Pm: 0.5000 0.5000 0.3095
Pm: 0.5000 0.5000 0.6905
Pm: 0.5000 0.5000 0.8967
Hg: 0.5000 0.5000 0.5000

***

# 3
Below is an optimized crystal structure of AcPm2Hg, with properties calculated at the PBE-GGA level.

Calculated values
Symmetry: Fm-3m (225)
ΔE_f, eV/atom: -0.002
Excess energy over the best structure of this formula in the dataset, eV per atom: 0.221
Raw total energy, eV per atom: -3.48
Fermi-level density of states, states/eV per atom: 1.51

Cell: 5.6646 5.6646 5.6646 Å, 60.00 60.00 60.00°
Fractional positions:
Ac: 0.0000 0.0000 0.0000
Pm: 0.2500 0.2500 0.2500
Pm: 0.7500 0.7500 0.7500
Hg: 0.5000 0.5000 0.5000

***

# 4
Below is an optimized crystal structure of AcPmHg, with properties calculated at the PBE-GGA level.

Calculated values
Symmetry: C2/m (12)
ΔE_f, eV/atom: -0.333
Excess energy over the best structure of this formula in the dataset, eV per atom: 0.000
Raw total energy, eV per atom: -3.39
Fermi-level density of states, states/eV per atom: 0.96

Cell: 9.1459 9.1459 5.6905 Å, 90.00 90.00 25.15°
Fractional positions:
Ac: 0.0788 0.0788 0.2489
Ac: 0.9212 0.9212 0.7511
Pm: 0.2294 0.2294 0.7497
Pm: 0.7706 0.7706 0.2503
Hg: 0.4115 0.4115 0.2515
Hg: 0.5885 0.5885 0.7485

***

# 5
Below is an optimized crystal structure of Ac2PmHg8, with properties calculated at the PBE-GGA level.

Calculated values
Symmetry: Immm (71)
ΔE_f, eV/atom: -0.359
Raw total energy, eV per atom: -1.76
Fermi-level density of states, states/eV per atom: 0.60

Cell: 8.6634 8.6634 8.6634 Å, 143.35 124.44 68.42°
Fractional positions:
Ac: 0.2045 0.2045 0.0000
Ac: 0.7955 0.7955 0.0000
Pm: 0.5000 0.5000 0.0000
Hg: 0.0634 0.3690 0.6944
Hg: 0.2193 0.0000 0.2193
Hg: 0.3254 0.6310 0.6944
Hg: 0.3517 0.8517 0.5000
Hg: 0.6483 0.1483 0.5000
Hg: 0.6746 0.3690 0.3056
Hg: 0.7807 0.0000 0.7807
Hg: 0.9366 0.6310 0.3056

***

# 6
Below is an optimized crystal structure of Ac2PmPrHg4, with properties calculated at the PBE-GGA level.

Calculated values
Symmetry: R-3m (166)
ΔE_f, eV/atom: -0.455
Raw total energy, eV per atom: -2.82
Fermi-level density of states, states/eV per atom: 1.11

Cell: 9.6933 9.6933 9.6933 Å, 33.44 33.44 33.44°
Fractional positions:
Ac: 0.2502 0.2502 0.2502
Ac: 0.7498 0.7498 0.7498
Pm: 0.0000 0.0000 0.0000
Pr: 0.5000 0.5000 0.5000
Hg: 0.1244 0.1244 0.1244
Hg: 0.3741 0.3741 0.3741
Hg: 0.6259 0.6259 0.6259
Hg: 0.8756 0.8756 0.8756

***

# 7
Below is an optimized crystal structure of AcPmPrHg, with properties calculated at the PBE-GGA level.

Calculated values
Symmetry: F-43m (216)
ΔE_f, eV/atom: -0.011
Excess energy over the best structure of this formula in the dataset, eV per atom: 0.216
Raw total energy, eV per atom: -3.50
Fermi-level density of states, states/eV per atom: 1.50

Cell: 5.6951 5.6951 5.6951 Å, 60.00 60.00 60.00°
Fractional positions:
Ac: 0.0000 0.0000 0.0000
Pm: 0.2500 0.2500 0.2500
Pr: 0.7500 0.7500 0.7500
Hg: 0.5000 0.5000 0.5000

***

# 8
Below is an optimized crystal structure of AcPmPrHg, with properties calculated at the PBE-GGA level.

Calculated values
Symmetry: P4mm (99)
ΔE_f, eV/atom: -0.227
Excess energy over the best structure of this formula in the dataset, eV per atom: 0.000
Raw total energy, eV per atom: -3.71
Fermi-level density of states, states/eV per atom: 1.39

Cell: 3.8567 3.8567 9.0099 Å, 90.00 90.00 90.00°
Fractional positions:
Ac: 0.0000 0.0000 0.0000
Pm: 0.5000 0.5000 0.2869
Pr: 0.5000 0.5000 0.7084
Hg: 0.0000 0.0000 0.4903

***

# 9
Below is an optimized crystal structure of AcPmHgPt, with properties calculated at the PBE-GGA level.

Calculated values
Symmetry: F-43m (216)
ΔE_f, eV/atom: -0.685
Raw total energy, eV per atom: -4.49
Fermi-level density of states, states/eV per atom: 0.82

Cell: 5.3850 5.3850 5.3850 Å, 60.00 60.00 60.00°
Fractional positions:
Ac: 0.0000 0.0000 0.0000
Pm: 0.5000 0.5000 0.5000
Hg: 0.7500 0.7500 0.7500
Pt: 0.2500 0.2500 0.2500

***

# 10
Below is an optimized crystal structure of AcPmHgRh, with properties calculated at the PBE-GGA level.

Calculated values
Symmetry: R3m (160)
ΔE_f, eV/atom: -0.559
Excess energy over the best structure of this formula in the dataset, eV per atom: 0.000
Raw total energy, eV per atom: -4.69
Fermi-level density of states, states/eV per atom: 0.62

Cell: 8.2534 8.2534 8.2534 Å, 29.76 29.76 29.76°
Fractional positions:
Ac: 0.0000 0.0000 0.0000
Pm: 0.1994 0.1994 0.1994
Hg: 0.7728 0.7728 0.7728
Rh: 0.5974 0.5974 0.5974

***

# 11
Below is an optimized crystal structure of AcPmHgRh, with properties calculated at the PBE-GGA level.

Calculated values
Symmetry: F-43m (216)
ΔE_f, eV/atom: -0.460
Excess energy over the best structure of this formula in the dataset, eV per atom: 0.099
Raw total energy, eV per atom: -4.59
Fermi-level density of states, states/eV per atom: 0.58

Cell: 5.3446 5.3446 5.3446 Å, 60.00 60.00 60.00°
Fractional positions:
Ac: 0.0000 0.0000 0.0000
Pm: 0.5000 0.5000 0.5000
Hg: 0.2500 0.2500 0.2500
Rh: 0.7500 0.7500 0.7500

***

# 12
Below is an optimized crystal structure of AcPmHgRu, with properties calculated at the PBE-GGA level.

Calculated values
Symmetry: F-43m (216)
ΔE_f, eV/atom: -0.180
Raw total energy, eV per atom: -4.79
Fermi-level density of states, states/eV per atom: 0.86

Cell: 5.3146 5.3146 5.3146 Å, 60.00 60.00 60.00°
Fractional positions:
Ac: 0.0000 0.0000 0.0000
Pm: 0.5000 0.5000 0.5000
Hg: 0.2500 0.2500 0.2500
Ru: 0.7500 0.7500 0.7500

***

# 13
Below is an optimized crystal structure of AcPmHgSb, with properties calculated at the PBE-GGA level.

Calculated values
Symmetry: F-43m (216)
Uncorrected formation energy, kJ/mol of atoms: -62
Raw total energy, eV per atom: -3.96
Fermi-level density of states, states/eV per atom: 1.13

Cell: 5.5894 5.5894 5.5894 Å, 60.00 60.00 60.00°
Fractional positions:
Ac: 0.0000 0.0000 0.0000
Pm: 0.5000 0.5000 0.5000
Hg: 0.7500 0.7500 0.7500
Sb: 0.2500 0.2500 0.2500

***

# 14
Below is an optimized crystal structure of AcPmSiHg, with properties calculated at the PBE-GGA level.

Calculated values
Symmetry: F-43m (216)
Uncorrected formation energy, kJ/mol of atoms: -39
Raw total energy, eV per atom: -4.05
Fermi-level density of states, states/eV per atom: 1.00

Cell: 5.4244 5.4244 5.4244 Å, 60.00 60.00 60.00°
Fractional positions:
Ac: 0.0000 0.0000 0.0000
Pm: 0.5000 0.5000 0.5000
Si: 0.7500 0.7500 0.7500
Hg: 0.2500 0.2500 0.2500